The following is a PBE calculation of K3YV after structural relaxation, from Alexandria.

Cell: 6.8932 6.8932 6.8932 Å, 90.00 90.00 90.00°
Positions (direct):
K: 0.0000 0.0000 0.5000
K: 0.0000 0.5000 0.0000
K: 0.5000 0.0000 0.0000
Y: 0.0000 0.0000 0.0000
V: 0.5000 0.5000 0.5000

Properties
- Calculated density: 1.3 g/cm³
- Space-group type: No. 221
- Energy of formation from the pure elements: 1.64 eV/atom
- Offset from the most stable computed form: 32.62 kJ per mole of atoms